[1]
# TbGe4Pd4 (PBE, relaxed)
# **Calculated formation energy**: -0.509 eV/atom
# **Raw total energy**: -48.45 eV/f.u.
# **Magnetization**: 0.000 μB per atom
data_TbGe4Pd4
_chemical_formula_sum 'Tb2 Ge8 Pd8'
_cell_length_a 6.242
_cell_length_b 6.242
_cell_length_c 8.362
_cell_angle_alpha 90.00
_cell_angle_beta 90.00
_cell_angle_gamma 90.00
_space_group_name_H-M_alt 'P 42/n m c'
_space_group_IT_number 137
loop_
_space_group_symop_operation_xyz
'x,y,z'
'-x,-y,-z'
'-y+1/2,x,z+1/2'
'y+1/2,-x,-z+1/2'
'-x+1/2,-y+1/2,z'
'x+1/2,y+1/2,-z'
'y,-x+1/2,z+1/2'
'-y,x+1/2,-z+1/2'
'x+1/2,-y,-z'
'-x+1/2,y,z'
'-y,-x,-z+1/2'
'y,x,z+1/2'
'-x,y+1/2,-z'
'x,-y+1/2,z'
'y+1/2,x+1/2,-z+1/2'
'-y+1/2,-x+1/2,z+1/2'
loop_
_atom_site_label
_atom_site_type_symbol
_atom_site_fract_x
_atom_site_fract_y
_atom_site_fract_z
Tb1 Tb 0.250 0.750 0.250
Ge1 Ge 0.028 0.250 0.053
Pd1 Pd 0.027 0.250 0.350



[2]
# Tb2Ge3Pd2 (PBE, relaxed)
# **Calculated formation energy**: -0.863 eV/atom
# **Raw total energy**: -39.54 eV/f.u.
# **Magnetization**: 0.000 μB per atom
data_Tb2Ge3Pd2
_chemical_formula_sum 'Tb8 Ge12 Pd8'
_cell_length_a 4.229
_cell_length_b 18.333
_cell_length_c 7.055
_cell_angle_alpha 90.00
_cell_angle_beta 90.00
_cell_angle_gamma 90.00
_space_group_name_H-M_alt 'C m c m'
_space_group_IT_number 63
_space_group_name_Hall '-C 2c 2'
loop_
_atom_site_label
_atom_site_type_symbol
_atom_site_fract_x
_atom_site_fract_y
_atom_site_fract_z
Tb1 Tb 0.000 0.053 0.250
Tb2 Tb 0.000 0.156 0.750
Ge1 Ge 0.000 0.223 0.250
Ge2 Ge 0.000 0.437 0.066
Pd1 Pd 0.000 0.305 0.549



[3]
# Tb2Ge4Pd3 (PBE, relaxed)
# **Calculated formation energy**: -0.753 eV/atom
# **Raw total energy**: -50.09 eV/f.u.
# **Magnetization**: 0.000 μB per atom
data_Tb2Ge4Pd3
_chemical_formula_sum 'Tb8 Ge16 Pd12'
_cell_length_a 5.815
_cell_length_b 15.116
_cell_length_c 7.535
_cell_angle_alpha 90.00
_cell_angle_beta 90.00
_cell_angle_gamma 90.00
_space_group_name_H-M_alt 'C m c e'
_space_group_IT_number 64
_space_group_name_Hall '-C 2ac 2'
loop_
_atom_site_label
_atom_site_type_symbol
_atom_site_fract_x
_atom_site_fract_y
_atom_site_fract_z
Tb1 Tb 0.000 0.108 0.090
Ge1 Ge 0.000 0.180 0.472
Ge2 Ge 0.250 0.058 0.750
Pd1 Pd 0.000 0.000 0.500
Pd2 Pd 0.250 0.226 0.750



[4]
# TbGe4Pd12 (PBE, relaxed)
# **Calculated formation energy**: -0.293 eV/atom
# **Raw total energy**: -90.40 eV/f.u.
# **Magnetization**: 0.000 μB per atom
data_TbGe4Pd12
_chemical_formula_sum 'Tb2 Ge8 Pd24'
_cell_length_a 8.525
_cell_length_b 8.525
_cell_length_c 8.525
_cell_angle_alpha 90.00
_cell_angle_beta 90.00
_cell_angle_gamma 90.00
_space_group_name_H-M_alt 'I m -3'
_space_group_IT_number 204
_space_group_name_Hall '-I 2 2 3'
loop_
_atom_site_label
_atom_site_type_symbol
_atom_site_fract_x
_atom_site_fract_y
_atom_site_fract_z
Tb1 Tb 0.000 0.000 0.000
Ge1 Ge 0.250 0.250 0.250
Pd1 Pd 0.000 0.160 0.342



[5]
# TbGe2Pd7 (PBE, relaxed)
# **Calculated formation energy**: -0.330 eV/atom
# **Raw total energy**: -53.51 eV/f.u.
# **Magnetization**: 0.000 μB per atom
data_TbGe2Pd7
_chemical_formula_sum 'Tb2 Ge4 Pd14'
_cell_length_a 7.358
_cell_length_b 12.128
_cell_length_c 4.506
_cell_angle_alpha 90.00
_cell_angle_beta 90.00
_cell_angle_gamma 90.00
_space_group_name_H-M_alt 'C m m m'
_space_group_IT_number 65
_space_group_name_Hall '-C 2 2'
loop_
_atom_site_label
_atom_site_type_symbol
_atom_site_fract_x
_atom_site_fract_y
_atom_site_fract_z
Tb1 Tb 0.000 0.000 0.000
Ge1 Ge 0.000 0.302 0.500
Pd1 Pd 0.000 0.231 0.000
Pd2 Pd 0.000 0.500 0.500
Pd3 Pd 0.187 0.122 0.500



[6]
# TbGePd6 (PBE, relaxed)
# **Calculated formation energy**: -0.316 eV/atom
# **Raw total energy**: -42.94 eV/f.u.
# **Magnetization**: 0.000 μB per atom
data_TbGePd6
_chemical_formula_sum 'Tb3 Ge3 Pd18'
_cell_length_a 5.5117
_cell_length_b 5.5117
_cell_length_c 18.6695
_cell_angle_alpha 90.00
_cell_angle_beta 90.00
_cell_angle_gamma 120.00
_space_group_name_H-M_alt 'R -3 m'
_space_group_IT_number 166
_space_group_name_Hall '-R 3 2"'
loop_
_atom_site_label
_atom_site_type_symbol
_atom_site_fract_x
_atom_site_fract_y
_atom_site_fract_z
Tb1 Tb 0.0000 0.0000 0.0000
Ge1 Ge 0.0000 0.0000 0.5000
Pd1 Pd 0.0094 0.5047 0.9281



[7]
# Tb3GePd (PBE, relaxed)
# **Calculated formation energy**: -0.642 eV/atom
# **Raw total energy**: -26.91 eV/f.u.
# **Magnetization**: 0.002 μB per atom
data_Tb3GePd
_chemical_formula_sum 'Tb6 Ge2 Pd2'
_cell_length_a 4.250
_cell_length_b 7.466
_cell_length_c 8.391
_cell_angle_alpha 91.64
_cell_angle_beta 90.04
_cell_angle_gamma 106.50
_space_group_name_H-M_alt 'P -1'
_space_group_IT_number 2
loop_
_space_group_symop_operation_xyz
'x,y,z'
'-x,-y,-z'
loop_
_atom_site_label
_atom_site_type_symbol
_atom_site_fract_x
_atom_site_fract_y
_atom_site_fract_z
Tb1 Tb 0.048 0.095 0.315
Tb2 Tb 0.242 0.485 0.687
Tb3 Tb 0.394 0.791 0.073
Ge1 Ge 0.398 0.797 0.432
Pd1 Pd 0.199 0.397 0.084



[8]
# Tb2Ge3Pd9 (PBE, relaxed)
# **Calculated formation energy**: -0.742 eV/atom
# **Raw total energy**: -80.24 eV/f.u.
# **Magnetization**: 0.000 μB per atom
data_Tb2Ge3Pd9
_chemical_formula_sum 'Tb8 Ge12 Pd36'
_cell_length_a 13.478
_cell_length_b 7.788
_cell_length_c 10.088
_cell_angle_alpha 90.00
_cell_angle_beta 116.23
_cell_angle_gamma 90.00
_space_group_name_H-M_alt 'C 1 2/c 1'
_space_group_IT_number 15
loop_
_space_group_symop_operation_xyz
'x,y,z'
'-x,-y,-z'
'-x,y,-z+1/2'
'x,-y,z+1/2'
'x+1/2,y+1/2,z'
'-x+1/2,-y+1/2,-z'
'-x+1/2,y+1/2,-z+1/2'
'x+1/2,-y+1/2,z+1/2'
loop_
_atom_site_label
_atom_site_type_symbol
_atom_site_fract_x
_atom_site_fract_y
_atom_site_fract_z
Tb1 Tb 0.171 0.085 0.250
Ge1 Ge 0.086 0.238 0.500
Ge2 Ge 0.250 0.250 0.000
Pd1 Pd 0.000 0.368 0.250
Pd2 Pd 0.057 0.074 0.920
Pd3 Pd 0.104 0.411 0.052
Pd4 Pd 0.106 0.316 0.747
Pd5 Pd 0.227 0.411 0.423



[9]
# Tb3Ge3Pd (PBE, relaxed)
# **Calculated formation energy**: -0.925 eV/atom
# **Raw total energy**: -39.41 eV/f.u.
# **Magnetization**: 0.000 μB per atom
data_Tb3Ge3Pd
_chemical_formula_sum 'Tb12 Ge12 Pd4'
_cell_length_a 10.734
_cell_length_b 4.319
_cell_length_c 13.979
_cell_angle_alpha 90.00
_cell_angle_beta 109.79
_cell_angle_gamma 90.00
_space_group_name_H-M_alt 'C 1 2/m 1'
_space_group_IT_number 12
loop_
_space_group_symop_operation_xyz
'x,y,z'
'-x,-y,-z'
'-x,y,-z'
'x,-y,z'
'x+1/2,y+1/2,z'
'-x+1/2,-y+1/2,-z'
'-x+1/2,y+1/2,-z'
'x+1/2,-y+1/2,z'
loop_
_atom_site_label
_atom_site_type_symbol
_atom_site_fract_x
_atom_site_fract_y
_atom_site_fract_z
Tb1 Tb 0.030 0.000 0.379
Tb2 Tb 0.101 0.000 0.923
Tb3 Tb 0.240 0.000 0.227
Ge1 Ge 0.031 0.500 0.232
Ge2 Ge 0.123 0.500 0.076
Ge3 Ge 0.126 0.500 0.548
Pd1 Pd 0.243 0.500 0.400



[10]
# Tb2Ge2Pd3 (PBE, relaxed)
# **Calculated formation energy**: -0.890 eV/atom
# **Raw total energy**: -40.31 eV/f.u.
# **Magnetization**: 0.000 μB per atom
data_Tb2Ge2Pd3
_chemical_formula_sum 'Tb4 Ge4 Pd6'
_cell_length_a 10.349
_cell_length_b 3.996
_cell_length_c 7.023
_cell_angle_alpha 90.00
_cell_angle_beta 112.97
_cell_angle_gamma 90.00
_space_group_name_H-M_alt 'C 1 2/m 1'
_space_group_IT_number 12
loop_
_space_group_symop_operation_xyz
'x,y,z'
'-x,-y,-z'
'-x,y,-z'
'x,-y,z'
'x+1/2,y+1/2,z'
'-x+1/2,-y+1/2,-z'
'-x+1/2,y+1/2,-z'
'x+1/2,-y+1/2,z'
loop_
_atom_site_label
_atom_site_type_symbol
_atom_site_fract_x
_atom_site_fract_y
_atom_site_fract_z
Tb1 Tb 0.129 0.000 0.265
Ge1 Ge 0.156 0.000 0.717
Pd1 Pd 0.000 0.500 0.500
Pd2 Pd 0.122 0.500 0.936



[11]
# Tb3Ge2Pd7 (PBE, relaxed)
# **Calculated formation energy**: -0.814 eV/atom
# **Raw total energy**: -69.24 eV/f.u.
# **Magnetization**: 0.000 μB per atom
data_Tb3Ge2Pd7
_chemical_formula_sum 'Tb6 Ge4 Pd14'
_cell_length_a 4.053
_cell_length_b 4.053
_cell_length_c 27.528
_cell_angle_alpha 90.00
_cell_angle_beta 90.00
_cell_angle_gamma 90.00
_space_group_name_H-M_alt 'I 4/m m m'
_space_group_IT_number 139
_space_group_name_Hall '-I 4 2'
loop_
_atom_site_label
_atom_site_type_symbol
_atom_site_fract_x
_atom_site_fract_y
_atom_site_fract_z
Tb1 Tb 0.000 0.000 0.000
Tb2 Tb 0.000 0.000 0.174
Ge1 Ge 0.000 0.000 0.369
Pd1 Pd 0.000 0.000 0.278
Pd2 Pd 0.000 0.000 0.500
Pd3 Pd 0.000 0.500 0.078



[12]
# Tb3Ge2Pd (PBE, relaxed)
# **Calculated formation energy**: -0.880 eV/atom
# **Raw total energy**: -33.60 eV/f.u.
# **Magnetization**: 0.000 μB per atom
data_Tb3Ge2Pd
_chemical_formula_sum 'Tb12 Ge8 Pd4'
_cell_length_a 11.629
_cell_length_b 4.313
_cell_length_c 11.344
_cell_angle_alpha 90.00
_cell_angle_beta 90.00
_cell_angle_gamma 90.00
_space_group_name_H-M_alt 'P n m a'
_space_group_IT_number 62
loop_
_space_group_symop_operation_xyz
'x,y,z'
'-x,-y,-z'
'-x+1/2,-y,z+1/2'
'x+1/2,y,-z+1/2'
'x+1/2,-y+1/2,-z+1/2'
'-x+1/2,y+1/2,z+1/2'
'-x,y+1/2,-z'
'x,-y+1/2,z'
loop_
_atom_site_label
_atom_site_type_symbol
_atom_site_fract_x
_atom_site_fract_y
_atom_site_fract_z
Tb1 Tb 0.053 0.250 0.128
Tb2 Tb 0.123 0.750 0.561
Tb3 Tb 0.218 0.250 0.807
Ge1 Ge 0.010 0.750 0.311
Ge2 Ge 0.185 0.750 0.005
Pd1 Pd 0.128 0.250 0.373



[13]
# Tb2Ge6Pd21 (PBE, relaxed)
# **Calculated formation energy**: -0.562 eV/atom
# **Raw total energy**: -162.32 eV/f.u.
# **Magnetization**: 0.000 μB per atom
data_Tb2Ge6Pd21
_chemical_formula_sum 'Tb8 Ge24 Pd84'
_cell_length_a 12.443
_cell_length_b 12.443
_cell_length_c 12.443
_cell_angle_alpha 90.00
_cell_angle_beta 90.00
_cell_angle_gamma 90.00
_space_group_name_H-M_alt 'F m -3 m'
_space_group_IT_number 225
_space_group_name_Hall '-F 4 2 3'
loop_
_atom_site_label
_atom_site_type_symbol
_atom_site_fract_x
_atom_site_fract_y
_atom_site_fract_z
Tb1 Tb 0.250 0.250 0.250
Ge1 Ge 0.000 0.000 0.234
Pd1 Pd 0.000 0.000 0.500
Pd2 Pd 0.000 0.173 0.327
Pd3 Pd 0.118 0.118 0.118



[14]
# TbGe4Pd6 (PBE, relaxed)
# **Calculated formation energy**: -0.672 eV/atom
# **Raw total energy**: -61.65 eV/f.u.
# **Magnetization**: 0.000 μB per atom
data_TbGe4Pd6
_chemical_formula_sum 'Tb1 Ge4 Pd6'
_cell_length_a 7.3727
_cell_length_b 7.3727
_cell_length_c 3.9115
_cell_angle_alpha 90.00
_cell_angle_beta 90.00
_cell_angle_gamma 120.00
_space_group_name_H-M_alt 'P -6 m 2'
_space_group_IT_number 187
_space_group_name_Hall 'P -6 2'
loop_
_atom_site_label
_atom_site_type_symbol
_atom_site_fract_x
_atom_site_fract_y
_atom_site_fract_z
Tb1 Tb 0.0000 0.0000 0.0000
Ge1 Ge 0.3333 0.6667 0.0000
Ge2 Ge 0.3803 0.1902 0.5000
Pd1 Pd 0.1986 0.3972 0.5000
Pd2 Pd 0.5355 0.0710 0.0000



[15]
# Tb3Ge3Pd2 (PBE, relaxed)
# **Calculated formation energy**: -0.898 eV/atom
# **Raw total energy**: -45.31 eV/f.u.
# **Magnetization**: 0.000 μB per atom
data_Tb3Ge3Pd2
_chemical_formula_sum 'Tb12 Ge12 Pd8'
_cell_length_a 8.021
_cell_length_b 14.526
_cell_length_c 5.791
_cell_angle_alpha 90.00
_cell_angle_beta 90.00
_cell_angle_gamma 90.00
_space_group_name_H-M_alt 'P n m a'
_space_group_IT_number 62
loop_
_space_group_symop_operation_xyz
'x,y,z'
'-x,-y,-z'
'-x+1/2,-y,z+1/2'
'x+1/2,y,-z+1/2'
'x+1/2,-y+1/2,-z+1/2'
'-x+1/2,y+1/2,z+1/2'
'-x,y+1/2,-z'
'x,-y+1/2,z'
loop_
_atom_site_label
_atom_site_type_symbol
_atom_site_fract_x
_atom_site_fract_y
_atom_site_fract_z
Tb1 Tb 0.037 0.110 0.135
Tb2 Tb 0.185 0.250 0.628
Ge1 Ge 0.180 0.750 0.617
Ge2 Ge 0.201 0.040 0.600
Pd1 Pd 0.089 0.605 0.376



[16]
# Tb2Ge3Pd (PBE, relaxed)
# **Calculated formation energy**: -0.762 eV/atom
# **Raw total energy**: -32.88 eV/f.u.
# **Magnetization**: 0.000 μB per atom
data_Tb2Ge3Pd
_chemical_formula_sum 'Tb4 Ge6 Pd2'
_cell_length_a 10.655
_cell_length_b 4.324
_cell_length_c 6.979
_cell_angle_alpha 90.00
_cell_angle_beta 130.57
_cell_angle_gamma 90.00
_space_group_name_H-M_alt 'C 1 m 1'
_space_group_IT_number 8
loop_
_space_group_symop_operation_xyz
'x,y,z'
'x,-y,z'
'x+1/2,y+1/2,z'
'x+1/2,-y+1/2,z'
loop_
_atom_site_label
_atom_site_type_symbol
_atom_site_fract_x
_atom_site_fract_y
_atom_site_fract_z
Tb1 Tb 0.000 0.000 0.000
Tb2 Tb 0.115 0.000 0.624
Ge1 Ge 0.219 0.500 0.022
Ge2 Ge 0.386 0.000 0.582
Ge3 Ge 0.425 0.000 0.208
Pd1 Pd 0.230 0.500 0.413



[17]
# TbGe4Pd5 (PBE, relaxed)
# **Calculated formation energy**: -0.503 eV/atom
# **Raw total energy**: -54.10 eV/f.u.
# **Magnetization**: 0.000 μB per atom
data_TbGe4Pd5
_chemical_formula_sum 'Tb2 Ge8 Pd10'
_cell_length_a 7.295
_cell_length_b 8.614
_cell_length_c 5.703
_cell_angle_alpha 90.00
_cell_angle_beta 90.00
_cell_angle_gamma 90.00
_space_group_name_H-M_alt 'P m m n'
_space_group_IT_number 59
loop_
_space_group_symop_operation_xyz
'x,y,z'
'-x,-y,-z'
'-x+1/2,-y+1/2,z'
'x+1/2,y+1/2,-z'
'x+1/2,-y,-z'
'-x+1/2,y,z'
'-x,y+1/2,-z'
'x,-y+1/2,z'
loop_
_atom_site_label
_atom_site_type_symbol
_atom_site_fract_x
_atom_site_fract_y
_atom_site_fract_z
Tb1 Tb 0.250 0.250 0.003
Ge1 Ge 0.082 0.250 0.482
Ge2 Ge 0.250 0.606 0.045
Pd1 Pd 0.034 0.001 0.743
Pd2 Pd 0.250 0.750 0.446